K3Pu2TeSe6: optimized geometry, GGA-PBE.

Cell: 7.4203 7.4203 8.2356 Å, 101.32 101.32 116.51°
Fractional coordinates of all 12 atoms:
K1 0.0000 0.0000 0.0000
K2 0.3376 0.6624 0.0000
K3 0.6624 0.3376 0.0000
Pu1 0.1642 0.8358 0.5000
Pu2 0.8358 0.1642 0.5000
Te1 0.5000 0.5000 0.5000
Se1 0.0934 0.4266 0.3062
Se2 0.1919 0.1919 0.7290
Se3 0.4266 0.0934 0.3062
Se4 0.5734 0.9066 0.6938
Se5 0.8081 0.8081 0.2710
Se6 0.9066 0.5734 0.6938

Output
- ΔE_f (raw): -1.092 eV/atom
- Symmetry: C2/m (12)